Compound: K2Pr2RuO6
Source: Alexandria
Functional: GGA-PBE
Structure: relaxed

a = 5.993 Å, b = 5.993 Å, c = 6.600 Å
α = 97.09°, β = 97.09°, γ = 119.11°
Element x y z (fractional)
K  0.155  0.845  0.000
K  0.845  0.155  0.000
Pr  0.334  0.666  0.500
Pr  0.666  0.334  0.500
Ru  0.000  0.000  0.500
O  0.044  0.349  0.675
O  0.230  0.230  0.325
O  0.349  0.044  0.675
O  0.651  0.956  0.325
O  0.770  0.770  0.675
O  0.956  0.651  0.325

Output
The final energy comes out at -6.67 eV/atom. Its formation energy (no corrections) is -2058 meV/atom. Its density of states at the Fermi level is 0.386 states/eV/atom. The spin magnetization comes out at 2.0 μB/cell. The symmetry is C2/m (12).